No. 1
Compound: TePBr2
Source: Alexandria via LeMat-Bulk
Functional: GGA-PBEsol
Structure: optimized geometry

It has space group P4mm (No. 99), with a = 4.013 Å, b = 4.013 Å, c = 7.247 Å, α = 90.00°, β = 90.00° and γ = 90.00°. The distinct sites, in fractional coordinates, are Te at (0.000, 0.000, 0.000), P at (0.500, 0.500, 0.981), Br at (0.000, 0.000, 0.651) and Br at (0.500, 0.500, 0.292).

The total magnetic moment is 0.00 μB/atom. For the energy relative to the lowest polymorph listed for this composition, the calculation gives 2.0 kJ per mole of atoms. The density of states at the Fermi level is 0.22 states/eV per atom. Its uncorrected formation energy is -0.025 eV per atom. The calculated volume comes out at 29.18 Å³/atom.



No. 2
Compound: Sr2TaMn
Source: Alexandria via LeMat-Bulk
Functional: GGA-PBEsol
Structure: optimized geometry

It has space group Fm-3m (No. 225), with a = 7.660 Å, b = 7.660 Å, c = 7.660 Å, α = 90.00°, β = 90.00° and γ = 90.00°. The distinct sites, in fractional coordinates, are Sr at (0.250, 0.250, 0.250), Ta at (0.000, 0.000, 0.000) and Mn at (0.000, 0.000, 0.500).

The total magnetic moment is 1.66 μB/atom. For the energy relative to the lowest polymorph listed for this composition, the calculation gives 64.7 kJ per mole of atoms. The density of states at the Fermi level is 2.00 states/eV per atom. The calculated volume comes out at 28.09 Å³/atom.



No. 3
Compound: Fe3PN
Source: Alexandria via LeMat-Bulk
Functional: GGA-PBEsol
Structure: optimized geometry

It has space group Pm-3m (No. 221), with a = 3.713 Å, b = 3.713 Å, c = 3.713 Å, α = 90.00°, β = 90.00° and γ = 90.00°. The distinct sites, in fractional coordinates, are Fe at (0.000, 0.000, 0.500), P at (0.500, 0.500, 0.500) and N at (0.000, 0.000, 0.000).

The total magnetic moment is 1.10 μB/atom. The density of states at the Fermi level is 0.97 states/eV per atom. Its uncorrected formation energy is -0.119 eV per atom. The calculated volume comes out at 10.23 Å³/atom.



No. 4
Compound: HoBO3
Source: Alexandria via LeMat-Bulk
Functional: GGA-PBEsol
Structure: optimized geometry

It has space group P-1 (No. 2), with a = 6.047 Å, b = 6.308 Å, c = 6.313 Å, α = 91.97°, β = 108.19° and γ = 108.89°. The distinct sites, in fractional coordinates, are Ho at (0.058, 0.349, 0.273), Ho at (0.439, 0.220, 0.821), B at (0.024, 0.788, 0.237), B at (0.489, 0.269, 0.281), O at (0.030, 0.019, 0.772), O at (0.092, 0.370, 0.645), O at (0.153, 0.717, 0.121), O at (0.368, 0.384, 0.126), O at (0.380, 0.840, 0.797) and O at (0.456, 0.267, 0.484).

The total magnetic moment is 0.00 μB/atom. The density of states at the Fermi level is 0.00 states/eV per atom. Its uncorrected formation energy is -3.153 eV per atom. The calculated volume comes out at 10.70 Å³/atom.



No. 5
Compound: Ac2CuRu
Source: Alexandria via LeMat-Bulk
Functional: GGA-PBEsol
Structure: optimized geometry

It has space group Fm-3m (No. 225), with a = 7.328 Å, b = 7.328 Å, c = 7.328 Å, α = 90.00°, β = 90.00° and γ = 90.00°. The distinct sites, in fractional coordinates, are Ac at (0.250, 0.250, 0.250), Cu at (0.000, 0.000, 0.000) and Ru at (0.000, 0.000, 0.500).

The total magnetic moment is 0.00 μB/atom. The density of states at the Fermi level is 0.68 states/eV per atom. The calculated volume comes out at 24.59 Å³/atom. The value obtained for the uncorrected energy is -5.8484 eV per atom.



No. 6
Compound: NaHfGe3
Source: Alexandria via LeMat-Bulk
Functional: GGA-PBEsol
Structure: optimized geometry

It has space group Pm-3m (No. 221), with a = 4.739 Å, b = 4.739 Å, c = 4.739 Å, α = 90.00°, β = 90.00° and γ = 90.00°. The distinct sites, in fractional coordinates, are Na at (0.000, 0.000, 0.000), Hf at (0.500, 0.500, 0.500) and Ge at (0.000, 0.000, 0.500).

The total magnetic moment is 0.00 μB/atom. The density of states at the Fermi level is 0.66 states/eV per atom. The calculated volume comes out at 21.28 Å³/atom. The value obtained for the uncorrected energy is -4.3042 eV per atom.



No. 7
Compound: Na4Pt3
Source: Alexandria via LeMat-Bulk
Functional: GGA-PBEsol
Structure: optimized geometry

It has space group P6/mmm (No. 191), with a = 5.3719 Å, b = 5.3719 Å, c = 5.3217 Å, α = 90.00°, β = 90.00° and γ = 120.00°. The distinct sites, in fractional coordinates, are Na at (0.0000, 0.0000, 0.2359), Na at (0.3333, 0.6667, 0.5000) and Pt at (0.0000, 0.5000, 0.0000).

The total magnetic moment is 0.00 μB/atom. The density of states at the Fermi level is 0.29 states/eV per atom. The calculated volume comes out at 19.00 Å³/atom. The value obtained for the uncorrected energy is -3.9316 eV per atom.



No. 8
Compound: Zr3BiH
Source: Alexandria via LeMat-Bulk
Functional: GGA-PBEsol
Structure: optimized geometry

It has space group Pm-3m (No. 221), with a = 4.464 Å, b = 4.464 Å, c = 4.464 Å, α = 90.00°, β = 90.00° and γ = 90.00°. The distinct sites, in fractional coordinates, are Zr at (0.000, 0.000, 0.500), Bi at (0.500, 0.500, 0.500) and H at (0.000, 0.000, 0.000).

The total magnetic moment is 0.00 μB/atom. For the energy relative to the lowest polymorph listed for this composition, the calculation gives 0.0 kJ per mole of atoms. The density of states at the Fermi level is 1.13 states/eV per atom. The calculated volume comes out at 17.79 Å³/atom.